Material: ZrSc2Ni
Method: DFT, PBE
State: relaxed

Cell and atoms, written as POSCAR:
```
ZrSc2Ni
1.0
-2.006 2.006 4.879
2.006 -2.006 4.879
2.006 2.006 -4.879
Zr Sc Ni
1 2 1
Direct
0.000 0.000 0.000
0.250 0.750 0.500
0.750 0.250 0.500
0.500 0.500 0.000
```

## Properties
Symmetry: I4/mmm, No. 139
VASP energy in eV per atom: -6.705
Formation energy from the elements in eV per atom: 0.043
Distance to the lowest polymorph of the same formula in kJ/mol of atoms: 28.2